5
Lattice="-3.7764 -2.7277 0.9077 2.7940 -3.1299 2.2187 -0.7304 2.4830 4.4225" Properties=species:S:1:pos:R:3 comment="KNa2AsF, optimized geometry, DFT PBE" magmom_total_mub_per_cell=1.0 e_form_raw_ev_per_fu=-5.82 pbc="T T T"
F 0.0000 0.0000 0.0000
Na 1.3970 -1.5650 1.1094
Na -1.8882 -1.3638 0.4538
K -0.3652 1.2415 2.2113
As -0.8564 -1.6873 3.7745


8
Lattice="6.4117 0.0000 0.0000 0.0000 6.4117 0.0000 3.2059 3.2059 5.3361" Properties=species:S:1:pos:R:3 comment="IrAuBr2, optimized geometry, DFT PBE" magmom_total_mub_per_cell=0.0 e_above_lowest_polymorph_mev_per_atom=629 e_form_raw_ev_per_fu=2.97 pbc="T T T"
Ir 3.2059 6.4117 2.6680
Ir 3.2059 3.2059 0.0000
Au 0.0000 0.0000 0.0000
Au 6.4117 3.2059 2.6680
Br 1.9185 4.8088 1.3340
Br 4.4932 1.6029 1.3340
Br 4.8088 5.1244 4.0021
Br 8.0146 7.6990 4.0021


4
Lattice="3.5067 0.0000 0.0000 0.0000 3.5067 0.0000 0.0000 0.0000 8.5495" Properties=species:S:1:pos:R:3 comment="YLu2Zn, optimized geometry, DFT PBE" formation_enthalpy_0k_kj_per_mol_fu=-66 magmom_total_mub_per_cell=0.0 e_above_lowest_polymorph_mev_per_atom=0 pbc="T T T"
Lu 0.0000 0.0000 1.7291
Lu 0.0000 0.0000 6.8204
Y 1.7533 1.7533 4.2748
Zn 1.7533 1.7533 0.0000


5
Lattice="4.8137 0.0000 0.0000 0.0000 5.1068 0.0000 0.0000 0.0000 4.8137" Properties=species:S:1:pos:R:3 comment="AgGe2PtS, optimized geometry, DFT PBE" magmom_total_mub_per_cell=0.0 e_form_raw_ev_per_fu=5.21 pbc="T T T"
Pt 0.0000 2.5534 0.0000
Ag 0.0000 0.0000 0.0000
Ge 2.4069 0.0000 0.0000
Ge 0.0000 0.0000 2.4069
S 2.4069 2.5534 2.4069


5
Lattice="5.4232 0.0000 0.0000 0.0000 3.3545 0.0000 0.0000 0.0000 5.4232" Properties=species:S:1:pos:R:3 comment="MgFeHBr2, optimized geometry, DFT PBE" magmom_total_mub_per_cell=3.2 pbc="T T T"
H 0.0000 0.0000 0.0000
Mg 0.0000 1.6773 0.0000
Fe 2.7116 1.6773 2.7116
Br 0.0000 0.0000 2.7116
Br 2.7116 0.0000 0.0000


20
Lattice="5.8703 0.0000 0.0000 0.0000 7.2730 0.2582 0.0000 -1.3713 7.1472" Properties=species:S:1:pos:R:3 comment="V6As3P, optimized geometry, DFT PBE" formation_enthalpy_0k_kj_per_mol_fu=-303 magmom_total_mub_per_cell=0.0 pbc="T T T"
V 3.6263 0.7429 5.4623
V 4.3671 7.0451 0.4398
V 4.1868 6.0847 3.2746
V 1.2517 -0.1830 4.1308
V 1.0278 2.5658 2.0212
V 0.6912 5.1588 1.9431
V 1.0278 4.5040 4.4533
V 1.2517 1.8342 6.6620
V 1.4320 -1.1434 6.9656
V 3.9629 3.3360 5.3842
V 3.9629 1.3977 2.9521
V 4.1868 4.0675 0.7434
As 3.0429 1.8971 0.7284
As 0.1078 4.0046 6.6770
As 4.9206 3.6695 3.1300
As 1.9855 2.2323 4.2754
As 0.1078 0.2867 2.0118
As 3.0429 5.6151 5.3936
P 5.7064 0.0888 5.9836
P 2.7713 5.8129 1.4218


Number 1: energy -3.215 eV/atom. Number 2: energy -3.129 eV/atom. Number 3: energy -4.365 eV/atom. Number 4: energy -3.409 eV/atom. Number 5: energy -3.168 eV/atom. Number 6: energy -7.721 eV/atom.